# SmVIO4 (PBE with a Hubbard U, optimized geometry)
# Energy, eV per atom: -6.971
# Total moment, Bohr magnetons per cell: 0.00
data_SmVIO4
_symmetry_space_group_name_H-M 'C 1 2/m 1'
_symmetry_Int_Tables_number 12
_cell_length_a 12.214
_cell_length_b 6.461
_cell_length_c 6.901
_cell_angle_alpha 90.00
_cell_angle_beta 102.54
_cell_angle_gamma 90.00
loop_
_symmetry_equiv_pos_as_xyz
'x,y,z'
'-x,-y,-z'
'-x,y,-z'
'x,-y,z'
'x+1/2,y+1/2,z'
'-x+1/2,-y+1/2,-z'
'-x+1/2,y+1/2,-z'
'x+1/2,-y+1/2,z'
loop_
_atom_site_label
_atom_site_type_symbol
_atom_site_fract_x
_atom_site_fract_y
_atom_site_fract_z
Sm1 Sm 0.203 0.000 0.334
V1 V 0.132 0.000 0.755
I1 I 0.036 0.500 0.197
O1 O 0.010 0.000 0.272
O2 O 0.177 0.210 0.622
O3 O 0.196 0.000 0.001